RuPt2Cl | GGA-PBE | optimized geometry

Uncorrected formation energy in kJ/mol of atoms: 32.7
V in Å³/f.u.: 63
M_tot in Bohr magnetons per cell: 0.0
Calculated total energy in eV for the cell shown: -65.54

Cell lengths 2.9061, 2.9061, 25.9176 Å; angles 90.00, 90.00, 120.00 degrees
Space group R-3m (No. 166, hexagonal axes)
One atom of each set of equivalent atoms:
Ru 0.0000 0.0000 0.0000
Pt 0.0000 0.0000 0.2525
Cl 0.0000 0.0000 0.5000